Compound: Co12Pt3W5
Source: Alexandria via LeMat-Bulk
Functional: PBE-GGA
Structure: relaxed

Unit cell a=11.8339 b=11.8339 c=11.8339 alpha=109.47 beta=109.47 gamma=109.47
Last column: nearest neighbours and their distance in Å.
Sites, in units of the cell vectors:
Co (0.0638, 0.2302, 0.1401)  2 W 2.28-2.35, 2 Pt 2.40-2.53, 1 Co 2.50
Co (0.0638, 0.3335, 0.9237)  2 W 2.28-2.35, 2 Pt 2.40-2.53, 1 Co 2.50
Co (0.0763, 0.6401, 0.4099)  2 W 2.28-2.35, 2 Pt 2.40-2.53, 1 Co 2.50
Co (0.0763, 0.9362, 0.6665)  2 W 2.28-2.35, 2 Pt 2.40-2.53, 1 Co 2.50
Co (0.0901, 0.7302, 0.6665)  2 W 2.28-2.35, 2 Pt 2.40-2.53, 1 Co 2.50
Co (0.0901, 0.8599, 0.4237)  2 W 2.28-2.35, 2 Pt 2.40-2.53, 1 Co 2.50
Co (0.1401, 0.0638, 0.2302)  2 W 2.28-2.35, 2 Pt 2.40-2.53, 1 Co 2.50
Co (0.1401, 0.5763, 0.9099)  2 W 2.28-2.35, 2 Pt 2.40-2.53, 1 Co 2.50
Co (0.1665, 0.2302, 0.5901)  2 W 2.28-2.35, 2 Pt 2.40-2.53, 1 Co 2.50
Co (0.1665, 0.4362, 0.5763)  2 W 2.28-2.35, 2 Pt 2.40-2.53, 1 Co 2.50
Co (0.2302, 0.1401, 0.0638)  2 W 2.28-2.35, 2 Pt 2.40-2.53, 1 Co 2.50
Co (0.2302, 0.5901, 0.1665)  2 W 2.28-2.35, 2 Pt 2.40-2.53, 1 Co 2.50
Co (0.2698, 0.3335, 0.9099)  2 W 2.28-2.35, 2 Pt 2.40-2.53, 1 Co 2.50
Co (0.2698, 0.4362, 0.3599)  2 W 2.28-2.35, 2 Pt 2.40-2.53, 1 Co 2.50
Co (0.3335, 0.9099, 0.2698)  2 W 2.28-2.35, 2 Pt 2.40-2.53, 1 Co 2.50
Co (0.3335, 0.9237, 0.0638)  2 W 2.28-2.35, 2 Pt 2.40-2.53, 1 Co 2.50
Co (0.3599, 0.2698, 0.4362)  2 W 2.28-2.35, 2 Pt 2.40-2.53, 1 Co 2.50
Co (0.3599, 0.5901, 0.9237)  2 W 2.28-2.35, 2 Pt 2.40-2.53, 1 Co 2.50
Co (0.4099, 0.0763, 0.6401)  2 W 2.28-2.35, 2 Pt 2.40-2.53, 1 Co 2.50
Co (0.4099, 0.8335, 0.7698)  2 W 2.28-2.35, 2 Pt 2.40-2.53, 1 Co 2.50
Co (0.4237, 0.0901, 0.8599)  2 W 2.28-2.35, 2 Pt 2.40-2.53, 1 Co 2.50
Co (0.4237, 0.8335, 0.5638)  2 W 2.28-2.35, 2 Pt 2.40-2.53, 1 Co 2.50
Co (0.4362, 0.3599, 0.2698)  2 W 2.28-2.35, 2 Pt 2.40-2.53, 1 Co 2.50
Co (0.4362, 0.5763, 0.1665)  2 W 2.28-2.35, 2 Pt 2.40-2.53, 1 Co 2.50
Co (0.5638, 0.4237, 0.8335)  2 W 2.28-2.35, 2 Pt 2.40-2.53, 1 Co 2.50
Co (0.5638, 0.6401, 0.7302)  2 W 2.28-2.35, 2 Pt 2.40-2.53, 1 Co 2.50
Co (0.5763, 0.1665, 0.4362)  2 W 2.28-2.35, 2 Pt 2.40-2.53, 1 Co 2.50
Co (0.5763, 0.9099, 0.1401)  2 W 2.28-2.35, 2 Pt 2.40-2.53, 1 Co 2.50
Co (0.5901, 0.1665, 0.2302)  2 W 2.28-2.35, 2 Pt 2.40-2.53, 1 Co 2.50
Co (0.5901, 0.9237, 0.3599)  2 W 2.28-2.35, 2 Pt 2.40-2.53, 1 Co 2.50
Co (0.6401, 0.4099, 0.0763)  2 W 2.28-2.35, 2 Pt 2.40-2.53, 1 Co 2.50
Co (0.6401, 0.7302, 0.5638)  2 W 2.28-2.35, 2 Pt 2.40-2.53, 1 Co 2.50
Co (0.6665, 0.0763, 0.9362)  2 W 2.28-2.35, 2 Pt 2.40-2.53, 1 Co 2.50
Co (0.6665, 0.0901, 0.7302)  2 W 2.28-2.35, 2 Pt 2.40-2.53, 1 Co 2.50
Co (0.7302, 0.5638, 0.6401)  2 W 2.28-2.35, 2 Pt 2.40-2.53, 1 Co 2.50
Co (0.7302, 0.6665, 0.0901)  2 W 2.28-2.35, 2 Pt 2.40-2.53, 1 Co 2.50
Co (0.7698, 0.4099, 0.8335)  2 W 2.28-2.35, 2 Pt 2.40-2.53, 1 Co 2.50
Co (0.7698, 0.8599, 0.9362)  2 W 2.28-2.35, 2 Pt 2.40-2.53, 1 Co 2.50
Co (0.8335, 0.5638, 0.4237)  2 W 2.28-2.35, 2 Pt 2.40-2.53, 1 Co 2.50
Co (0.8335, 0.7698, 0.4099)  2 W 2.28-2.35, 2 Pt 2.40-2.53, 1 Co 2.50
Co (0.8599, 0.4237, 0.0901)  2 W 2.28-2.35, 2 Pt 2.40-2.53, 1 Co 2.50
Co (0.8599, 0.9362, 0.7698)  2 W 2.28-2.35, 2 Pt 2.40-2.53, 1 Co 2.50
Co (0.9099, 0.1401, 0.5763)  2 W 2.28-2.35, 2 Pt 2.40-2.53, 1 Co 2.50
Co (0.9099, 0.2698, 0.3335)  2 W 2.28-2.35, 2 Pt 2.40-2.53, 1 Co 2.50
Co (0.9237, 0.0638, 0.3335)  2 W 2.28-2.35, 2 Pt 2.40-2.53, 1 Co 2.50
Co (0.9237, 0.3599, 0.5901)  2 W 2.28-2.35, 2 Pt 2.40-2.53, 1 Co 2.50
Co (0.9362, 0.6665, 0.0763)  2 W 2.28-2.35, 2 Pt 2.40-2.53, 1 Co 2.50
Co (0.9362, 0.7698, 0.8599)  2 W 2.28-2.35, 2 Pt 2.40-2.53, 1 Co 2.50
Pt (0.1250, 0.2500, 0.3750)  8 Co 2.40-2.53
Pt (0.1250, 0.3750, 0.7500)  8 Co 2.40-2.53
Pt (0.2500, 0.3750, 0.1250)  8 Co 2.40-2.53
Pt (0.2500, 0.8750, 0.6250)  8 Co 2.40-2.53
Pt (0.3750, 0.1250, 0.2500)  8 Co 2.40-2.53
Pt (0.3750, 0.7500, 0.1250)  8 Co 2.40-2.53
Pt (0.6250, 0.2500, 0.8750)  8 Co 2.40-2.53
Pt (0.6250, 0.8750, 0.7500)  8 Co 2.40-2.53
Pt (0.7500, 0.1250, 0.3750)  8 Co 2.40-2.53
Pt (0.7500, 0.6250, 0.8750)  8 Co 2.40-2.53
Pt (0.8750, 0.6250, 0.2500)  8 Co 2.40-2.53
Pt (0.8750, 0.7500, 0.6250)  8 Co 2.40-2.53
W (0.0000, 0.0000, 0.0000)  6 Co 2.35
W (0.0000, 0.0000, 0.5000)  6 Co 2.35
W (0.0000, 0.5000, 0.0000)  6 Co 2.35
W (0.0000, 0.5000, 0.5000)  6 Co 2.35
W (0.1250, 0.7500, 0.8750)  4 Co 2.28
W (0.1250, 0.8750, 0.2500)  4 Co 2.28
W (0.2500, 0.1250, 0.8750)  4 Co 2.28
W (0.2500, 0.6250, 0.3750)  4 Co 2.28
W (0.3750, 0.2500, 0.6250)  4 Co 2.28
W (0.3750, 0.6250, 0.7500)  4 Co 2.28
W (0.5000, 0.0000, 0.0000)  6 Co 2.35
W (0.5000, 0.0000, 0.5000)  6 Co 2.35
W (0.5000, 0.5000, 0.0000)  6 Co 2.35
W (0.5000, 0.5000, 0.5000)  6 Co 2.35
W (0.6250, 0.3750, 0.2500)  4 Co 2.28
W (0.6250, 0.7500, 0.3750)  4 Co 2.28
W (0.7500, 0.3750, 0.6250)  4 Co 2.28
W (0.7500, 0.8750, 0.1250)  4 Co 2.28
W (0.8750, 0.1250, 0.7500)  4 Co 2.28
W (0.8750, 0.2500, 0.1250)  4 Co 2.28

## Properties
- Calculated volume: 319 Å³/f.u.
- SG: Ia-3d, No. 230
- Energy relative to the elements: 0.89 eV per atom
- Total energy: -7.52 eV/atom
- Size of the total moment: 0.00 Bohr magnetons per cell



Compound: Na3LiPu3Se8
Source: Alexandria via LeMat-Bulk
Functional: PBE-GGA
Structure: relaxed

Unit cell a=8.3870 b=8.3870 c=8.3870 alpha=58.83 beta=58.83 gamma=58.83
Last column: nearest neighbours and their distance in Å.
Sites, in units of the cell vectors:
Na (0.0000, 0.5000, 0.5000)  6 Se 3.01-3.09
Na (0.5000, 0.0000, 0.5000)  6 Se 3.01-3.09
Na (0.5000, 0.5000, 0.0000)  6 Se 3.01-3.09
Li (0.5000, 0.5000, 0.5000)  6 Se 2.86
Pu (0.0000, 0.0000, 0.5000)  6 Se 2.80-2.87
Pu (0.0000, 0.5000, 0.0000)  6 Se 2.80-2.87
Pu (0.5000, 0.0000, 0.0000)  6 Se 2.80-2.87
Se (0.2322, 0.7434, 0.7434)  2 Pu 2.80, 1 Li 2.86, 2 Na 3.09
Se (0.2444, 0.2444, 0.2444)  3 Pu 2.87, 3 Na 3.01
Se (0.2566, 0.2566, 0.7678)  2 Pu 2.80, 1 Li 2.86, 2 Na 3.09
Se (0.2566, 0.7678, 0.2566)  2 Pu 2.80, 1 Li 2.86, 2 Na 3.09
Se (0.7434, 0.2322, 0.7434)  2 Pu 2.80, 1 Li 2.86, 2 Na 3.09
Se (0.7434, 0.7434, 0.2322)  2 Pu 2.80, 1 Li 2.86, 2 Na 3.09
Se (0.7556, 0.7556, 0.7556)  3 Pu 2.87, 3 Na 3.01
Se (0.7678, 0.2566, 0.2566)  2 Pu 2.80, 1 Li 2.86, 2 Na 3.09

## Properties
- Calculated volume: 406 Å³/f.u.
- SG: R-3m, No. 166
- Total energy: -6.34 eV/atom
- Size of the total moment: 12.00 Bohr magnetons per cell
- E_form (uncorrected): -1.2218 eV/atom



Compound: Mg3Nb3VN8
Source: Alexandria via LeMat-Bulk
Functional: PBE-GGA
Structure: relaxed

Unit cell a=6.2380 b=6.2380 c=6.2380 alpha=58.41 beta=58.41 gamma=58.41
Last column: nearest neighbours and their distance in Å.
Sites, in units of the cell vectors:
Mg (0.0000, 0.5000, 0.5000)  6 N 2.18-2.23
Mg (0.5000, 0.0000, 0.5000)  6 N 2.18-2.23
Mg (0.5000, 0.5000, 0.0000)  6 N 2.18-2.23
Nb (0.0000, 0.0000, 0.5000)  6 N 2.14-2.17
Nb (0.0000, 0.5000, 0.0000)  6 N 2.14-2.17
Nb (0.5000, 0.0000, 0.0000)  6 N 2.14-2.17
V (0.5000, 0.5000, 0.5000)  6 N 2.04
N (0.2495, 0.2495, 0.2495)  3 Nb 2.17, 3 Mg 2.18
N (0.2560, 0.7339, 0.7339)  1 V 2.04, 2 Nb 2.14, 2 Mg 2.23
N (0.2661, 0.2661, 0.7440)  1 V 2.04, 2 Nb 2.14, 2 Mg 2.23
N (0.2661, 0.7440, 0.2661)  1 V 2.04, 2 Nb 2.14, 2 Mg 2.23
N (0.7339, 0.2560, 0.7339)  1 V 2.04, 2 Nb 2.14, 2 Mg 2.23
N (0.7339, 0.7339, 0.2560)  1 V 2.04, 2 Nb 2.14, 2 Mg 2.23
N (0.7440, 0.2661, 0.2661)  1 V 2.04, 2 Nb 2.14, 2 Mg 2.23
N (0.7505, 0.7505, 0.7505)  3 Nb 2.17, 3 Mg 2.18

## Properties
- Calculated volume: 165 Å³/f.u.
- SG: R-3m, No. 166
- Total energy: -8.25 eV/atom
- Size of the total moment: 0.00 Bohr magnetons per cell
- E_form (uncorrected): -0.8723 eV/atom



Compound: CaRhF
Source: Alexandria via LeMat-Bulk
Functional: PBE-GGA
Structure: relaxed

Unit cell a=3.8016 b=3.8016 c=9.4431 alpha=90.00 beta=90.00 gamma=120.00
Last column: nearest neighbours and their distance in Å.
Sites, in units of the cell vectors:
Ca (0.3333, 0.6667, 0.2500)  3 F 2.19
Ca (0.6667, 0.3333, 0.7500)  3 F 2.19
Rh (0.0000, 0.0000, 0.0000)  2 F 2.36
Rh (0.0000, 0.0000, 0.5000)  2 F 2.36
F (0.0000, 0.0000, 0.2500)  3 Ca 2.19, 2 Rh 2.36
F (0.0000, 0.0000, 0.7500)  3 Ca 2.19, 2 Rh 2.36

## Properties
- Calculated volume: 59 Å³/f.u.
- SG: P6_3/mmc, No. 194
- Total energy: -4.81 eV/atom
- E above lowest polymorph: 851 meV/atom
- Size of the total moment: 1.26 Bohr magnetons per cell
- E_form (uncorrected): -1.0678 eV/atom



Compound: PaB2Ir2Os
Source: Alexandria via LeMat-Bulk
Functional: PBE-GGA
Structure: relaxed

Unit cell a=6.9253 b=6.9253 c=6.9253 alpha=146.87 beta=146.87 gamma=47.56
Last column: nearest neighbours and their distance in Å.
Sites, in units of the cell vectors:
Pa (0.0000, 0.0000, 0.0000)  2 B 2.50, 4 Os 2.79
B (0.1974, 0.1974, 0.0000)  4 Ir 2.08
B (0.8026, 0.8026, 0.0000)  4 Ir 2.08
Ir (0.2500, 0.7500, 0.5000)  4 B 2.08
Ir (0.7500, 0.2500, 0.5000)  4 B 2.08
Os (0.5000, 0.5000, 0.0000)  4 Pa 2.79

## Properties
- Calculated volume: 99 Å³/f.u.
- SG: I4/mmm, No. 139
- Energy relative to the elements: 0.25 eV per atom
- Total energy: -8.39 eV/atom
- Size of the total moment: 0.97 Bohr magnetons per cell



Compound: HgTe2Pt
Source: Alexandria via LeMat-Bulk
Functional: PBE-GGA
Structure: relaxed

Unit cell a=14.1055 b=14.1055 c=5.5297 alpha=90.00 beta=90.00 gamma=167.99
Last column: nearest neighbours and their distance in Å.
Sites, in units of the cell vectors:
Hg (0.2242, 0.7758, 0.7500)  2 Hg 2.95
Hg (0.7758, 0.2242, 0.2500)  2 Hg 2.95
Te (0.3547, 0.6453, 0.7500)  1 Pt 2.65, 2 Te 2.95
Te (0.4571, 0.5429, 0.2500)  3 Pt 2.63-2.77
Te (0.5429, 0.4571, 0.7500)  3 Pt 2.63-2.77
Te (0.6453, 0.3547, 0.2500)  1 Pt 2.65, 2 Te 2.95
Pt (0.4491, 0.5509, 0.7500)  4 Te 2.63-2.77
Pt (0.5509, 0.4491, 0.2500)  4 Te 2.63-2.77

## Properties
- Calculated volume: 114 Å³/f.u.
- SG: Cmcm, No. 63
- Total energy: -3.26 eV/atom
- Size of the total moment: 0.00 Bohr magnetons per cell
- E_form (uncorrected): -0.1050 eV/atom



Compound: SiRh2N
Source: Alexandria via LeMat-Bulk
Functional: PBE-GGA
Structure: relaxed

Unit cell a=6.1224 b=6.1224 c=6.1224 alpha=132.71 beta=132.71 gamma=69.11
Last column: nearest neighbours and their distance in Å.
Sites, in units of the cell vectors:
Si (0.0000, 0.0000, 0.0000)  4 Rh 2.35
Si (0.7500, 0.2500, 0.5000)  4 Rh 2.35
Rh (0.1930, 0.6250, 0.0680)  2 N 1.97
Rh (0.3750, 0.4430, 0.5680)  2 N 1.97
Rh (0.5570, 0.1250, 0.9320)  2 N 1.97
Rh (0.8750, 0.8070, 0.4320)  2 N 1.97
N (0.2500, 0.7500, 0.5000)  4 Rh 1.97
N (0.5000, 0.5000, 0.0000)  4 Rh 1.97

## Properties
- Calculated volume: 61 Å³/f.u.
- SG: I-42d, No. 122
- Total energy: -7.06 eV/atom
- E above lowest polymorph: 0 meV/atom
- Size of the total moment: 0.00 Bohr magnetons per cell
- E_form (uncorrected): 0.0578 eV/atom



Compound: InBi2Pb
Source: Alexandria via LeMat-Bulk
Functional: PBE-GGA
Structure: relaxed

Unit cell a=4.6921 b=4.6944 c=6.6551 alpha=103.12 beta=108.77 gamma=102.60
Last column: nearest neighbours and their distance in Å.
Sites, in units of the cell vectors:
In (0.0000, 0.0000, 0.0000)  6 Bi 3.14-3.38, 2 Pb 3.40
Bi (0.2504, 0.5108, 0.7630)  3 In 3.14-3.38, 3 Pb 3.29-3.42, 2 Bi 3.31-3.50
Bi (0.7496, 0.4892, 0.2370)  3 In 3.14-3.38, 3 Pb 3.29-3.42, 2 Bi 3.31-3.50
Pb (0.5000, 0.0000, 0.5000)  6 Bi 3.29-3.42, 2 In 3.40

## Properties
- Calculated volume: 128 Å³/f.u.
- SG: P-1, No. 2
- Energy relative to the elements: 0.04 eV per atom
- Total energy: -3.51 eV/atom
- Size of the total moment: 0.00 Bohr magnetons per cell



Compound: HfZrSi2
Source: Alexandria via LeMat-Bulk
Functional: PBE-GGA
Structure: relaxed

Unit cell a=6.5141 b=6.5141 c=6.5141 alpha=34.15 beta=34.15 gamma=34.15
Last column: nearest neighbours and their distance in Å.
Sites, in units of the cell vectors:
Hf (0.0000, 0.0000, 0.0000)  6 Si 2.68
Zr (0.5000, 0.5000, 0.5000)  6 Si 2.70
Si (0.2510, 0.2510, 0.2510)  3 Hf 2.68, 3 Zr 2.70
Si (0.7490, 0.7490, 0.7490)  3 Hf 2.68, 3 Zr 2.70

## Properties
- Calculated volume: 78 Å³/f.u.
- SG: R-3m, No. 166
- Total energy: -7.97 eV/atom
- E above lowest polymorph: 248 meV/atom
- Size of the total moment: 0.00 Bohr magnetons per cell
- E_form (uncorrected): -0.6302 eV/atom



Compound: SrIn3Co
Source: Alexandria via LeMat-Bulk
Functional: PBE-GGA
Structure: relaxed

Unit cell a=5.0153 b=5.0153 c=5.0153 alpha=90.00 beta=90.00 gamma=90.00
Last column: nearest neighbours and their distance in Å.
Sites, in units of the cell vectors:
Sr (0.0000, 0.0000, 0.0000)  12 In 3.55
In (0.0000, 0.5000, 0.5000)  2 Co 2.51
In (0.5000, 0.0000, 0.5000)  2 Co 2.51
In (0.5000, 0.5000, 0.0000)  2 Co 2.51
Co (0.5000, 0.5000, 0.5000)  6 In 2.51

## Properties
- Calculated volume: 126 Å³/f.u.
- SG: Pm-3m, No. 221
- Energy relative to the elements: -0.19 eV per atom
- Total energy: -3.59 eV/atom
- Size of the total moment: 0.00 Bohr magnetons per cell



Compound: KAlIr
Source: Alexandria via LeMat-Bulk
Functional: PBE-GGA
Structure: relaxed

Unit cell a=6.5392 b=6.5392 c=6.5392 alpha=153.68 beta=145.16 gamma=44.19
Last column: nearest neighbours and their distance in Å.
Sites, in units of the cell vectors:
K (0.0000, 0.0000, 0.0000)  2 K 2.98, 1 Al 3.15, 1 Ir 3.25
Al (0.7405, 0.7405, 0.0000)  4 Ir 2.48
Ir (0.2680, 0.2680, 0.0000)  4 Al 2.48

## Properties
- Calculated volume: 71 Å³/f.u.
- SG: Imm2, No. 44
- Energy relative to the elements: -0.15 eV per atom
- Total energy: -4.71 eV/atom
- E above lowest polymorph: 0 meV/atom
- Size of the total moment: 0.00 Bohr magnetons per cell